1.
# PBE MnAs2P, relaxed
data_MnAs2P
_chemical_formula_sum 'Mn1 As2 P1'
_cell_length_a 3.109
_cell_length_b 3.119
_cell_length_c 6.444
_cell_angle_alpha 90.00
_cell_angle_beta 90.00
_cell_angle_gamma 90.00
_symmetry_space_group_name_H-M 'P 1'
_symmetry_Int_Tables_number 1
_symmetry_space_group_name_Hall 'P 1'
loop_
_atom_site_label
_atom_site_type_symbol
_atom_site_fract_x
_atom_site_fract_y
_atom_site_fract_z
Mn1 Mn 0.000 0.000 0.000
As1 As 0.500 0.500 0.218
As2 As 0.500 0.500 0.782
P1 P 0.000 0.000 0.500
# Crystal system: orthorhombic
# Total magnetization: 0.521 μB per atom
# Space group: No. 47
# Uncorrected energy: -22.69 eV per cell



2.
# PBE BaTaSb2Te, relaxed
data_BaTaSb2Te
_chemical_formula_sum 'Ba1 Ta1 Sb2 Te1'
_cell_length_a 5.409
_cell_length_b 5.409
_cell_length_c 5.679
_cell_angle_alpha 90.00
_cell_angle_beta 90.00
_cell_angle_gamma 90.00
_symmetry_space_group_name_H-M 'P 1'
_symmetry_Int_Tables_number 1
_symmetry_space_group_name_Hall 'P 1'
loop_
_atom_site_label
_atom_site_type_symbol
_atom_site_fract_x
_atom_site_fract_y
_atom_site_fract_z
Ba1 Ba 0.000 0.000 0.000
Ta1 Ta 0.500 0.500 0.500
Sb1 Sb 0.000 0.500 0.500
Sb2 Sb 0.500 0.000 0.500
Te1 Te 0.500 0.500 0.000
# Crystal system: tetragonal
# Total magnetization: 0.000 μB per atom
# Space group: No. 123
# Uncorrected energy: -26.87 eV per cell
# Raw formation energy: -0.341 eV per atom
# ΔE to the lowest computed polymorph: 0 meV per atom